[1]
{
  "formula": "AcCe3Y2Se6",
  "functional": "PBE-GGA",
  "state": "relaxed",
  "raw_formation_energy_ev_per_atom": -1.797,
  "sg": "C2/m, No. 12",
  "crystal_system": "monoclinic",
  "lattice": [[-1.286, 6.915, 1.932], [-1.816, -2.327, -6.670], [-5.198, -3.351, 3.921]],
  "species": ["Se", "Se", "Se", "Se", "Se", "Se", "Ac", "Y", "Y", "Ce", "Ce", "Ce"],
  "fractional_positions": [[0.731, 0.731, 0.242], [0.084, 0.433, 0.250], [0.269, 0.269, 0.758], [0.433, 0.084, 0.250], [0.567, 0.916, 0.750], [0.916, 0.567, 0.750], [0.000, 0.000, 0.000], [0.332, 0.668, 0.000], [0.668, 0.332, 0.000], [0.500, 0.500, 0.500], [0.160, 0.840, 0.500], [0.840, 0.160, 0.500]]
}

[2]
{
  "formula": "YFeAg",
  "functional": "PBE-GGA",
  "state": "relaxed",
  "sg": "F-43m, No. 216",
  "crystal_system": "cubic",
  "delta_e_f_ev_per_atom": 0.818,
  "lattice": [[4.726, 0.000, 0.000], [2.363, 4.093, 0.000], [2.363, 1.364, 3.859]],
  "species": ["Fe", "Y", "Ag"],
  "fractional_positions": [[0.500, 0.500, 0.500], [0.250, 0.250, 0.250], [0.000, 0.000, 0.000]]
}

[3]
{
  "formula": "SrAgAu",
  "functional": "PBE-GGA",
  "state": "relaxed",
  "polymorph_energy_kj_per_mol_atoms": 0.5,
  "sg": "P-6m2, No. 187",
  "crystal_system": "hexagonal",
  "delta_e_f_ev_per_atom": -0.532,
  "lattice": [[4.818, 0.000, 0.000], [-2.409, 4.172, 0.000], [0.000, 0.000, 3.953]],
  "species": ["Au", "Sr", "Ag"],
  "fractional_positions": [[0.333, 0.667, 0.167], [0.667, 0.333, 0.666], [0.000, 0.000, 0.167]]
}

no.,magnetization (μB/atom)
1,0.26
2,0.82
3,0.00